Density functional theory data (GGA-PBE) for a geometry-optimized KCoNi4 structure.

* total moment: 0.7186 μB/atom
* raw total energy: -27.296 eV per formula unit

a b c (Å): 4.932 4.932 4.932
angles (deg): 60.00 60.00 60.00
Last column: magnetic moment on the atom in μB.
Fractional coordinates of all 6 atoms:
K: 0.000 0.000 0.000  -0.02
Co: 0.750 0.750 0.750  2.05
Ni: 0.872 0.376 0.376  0.62
Ni: 0.376 0.376 0.872  0.62
Ni: 0.376 0.872 0.376  0.62
Ni: 0.376 0.376 0.376  0.62

---

Density functional theory data (GGA-PBE) for a geometry-optimized KCoNi structure.

* total moment: 0.6636 μB/atom
* raw total energy: -11.106 eV per formula unit

a b c (Å): 2.802 2.802 7.397
angles (deg): 90.00 90.00 120.00
Last column: magnetic moment on the atom in μB.
Fractional coordinates of all 3 atoms:
Co: 0.000 0.000 0.953  1.73
K: 0.667 0.333 0.336  -0.05
Ni: 0.333 0.667 0.711  0.50

---

Density functional theory data (GGA-PBE) for a geometry-optimized KCoNi structure.

* total moment: 0.7107 μB/atom
* raw total energy: -12.204 eV per formula unit

a b c (Å): 6.225 6.225 6.225
angles (deg): 155.28 144.11 44.07
Last column: magnetic moment on the atom in μB.
Fractional coordinates of all 3 atoms:
Co: 0.064 0.064 0.000  1.71
K: 0.333 0.333 0.000  -0.03
Ni: 0.603 0.603 0.000  0.69

---

Density functional theory data (GGA-PBE) for a geometry-optimized KCoNi structure.

* total moment: 0.8674 μB/atom
* raw total energy: -9.842 eV per formula unit

a b c (Å): 4.531 4.531 4.531
angles (deg): 60.00 60.00 60.00
Last column: magnetic moment on the atom in μB.
Fractional coordinates of all 3 atoms:
Co: 0.000 0.000 0.000  1.99
K: 0.500 0.500 0.500  -0.01
Ni: 0.250 0.250 0.250  0.71

---

Density functional theory data (GGA-PBE) for a geometry-optimized KCoNi structure.

* total moment: 0.6812 μB/atom
* raw total energy: -7.781 eV per formula unit

a b c (Å): 4.630 4.630 4.630
angles (deg): 60.00 60.00 60.00
Last column: magnetic moment on the atom in μB.
Fractional coordinates of all 3 atoms:
Co: 0.500 0.500 0.500  1.81
K: 0.250 0.250 0.250  -0.02
Ni: 0.000 0.000 0.000  0.39

---

Density functional theory data (GGA-PBE) for a geometry-optimized K2Co4Ni structure.

* total moment: 1.2445 μB/atom
* raw total energy: -27.751 eV per formula unit

a b c (Å): 4.525 4.525 9.069
angles (deg): 75.55 75.55 90.00
Last column: magnetic moment on the atom in μB.
Fractional coordinates of all 7 atoms:
Ni: 0.000 0.000 0.000  0.92
K: 0.655 0.655 0.690  -0.01
K: 0.345 0.345 0.310  -0.01
Co: 0.874 0.874 0.251  1.94
Co: 0.126 0.126 0.749  1.94
Co: 0.000 0.500 0.000  2.02
Co: 0.500 0.000 0.000  2.02